P | Below is Ni3Ge2Rh after structural relaxation, with properties calculated at the PBE level.

ρ = 9.2 g cm⁻³
D(E_F) = 9.13 states/eV/cell

a b c (Å): 3.642 7.318 7.060
angles (deg): 121.22 104.92 90.00
Fractional coordinates of all 12 atoms:
Ni: 0.500 0.250 0.000
Ni: 0.500 0.750 0.000
Ni: 0.829 0.080 0.659
Ni: 0.171 0.420 0.341
Ni: 0.171 0.920 0.341
Ni: 0.829 0.580 0.659
Ge: 0.347 0.347 0.693
Ge: 0.653 0.153 0.307
Ge: 0.347 0.847 0.693
Ge: 0.653 0.653 0.307
Rh: 0.000 0.500 0.000
Rh: 0.000 0.000 0.000

=====

Q | Below is Ni3Ge2Rh after structural relaxation, with properties calculated at the PBE level.

ρ = 9.2 g cm⁻³
D(E_F) = 3.87 states/eV/cell

a b c (Å): 3.768 5.599 7.249
angles (deg): 90.00 90.00 90.00
Fractional coordinates of all 12 atoms:
Ni: 0.000 0.455 0.940
Ni: 0.000 0.955 0.060
Ni: 0.500 0.652 0.186
Ni: 0.500 0.152 0.814
Ni: 0.000 0.352 0.304
Ni: 0.000 0.852 0.696
Ge: 0.500 0.736 0.875
Ge: 0.500 0.236 0.125
Ge: 0.000 0.264 0.631
Ge: 0.000 0.764 0.369
Rh: 0.500 0.543 0.562
Rh: 0.500 0.043 0.438

=====

Result of the stability comparison: P is the least stable of them.

=====

P | Below is Ni3GeRh after structural relaxation, with properties calculated at the PBE level.

ρ = 6.3 g cm⁻³
D(E_F) = 6.08 states/eV/cell

a b c (Å): 4.523 4.523 4.523
angles (deg): 90.00 90.00 90.00
Last column: magnetic moment on the atom in μB.
Fractional coordinates of all 5 atoms:
Ni: 0.000 0.500 0.000  0.84
Ni: 0.000 0.000 0.500  1.25
Ni: 0.500 0.000 0.000  0.43
Ge: 0.500 0.500 0.500  -0.01
Rh: 0.000 0.000 0.000  0.94

=====

Q | Below is Ni3GeRh after structural relaxation, with properties calculated at the PBE level.

ρ = 7.1 g cm⁻³
D(E_F) = 7.61 states/eV/cell

a b c (Å): 4.912 4.972 4.908
angles (deg): 119.59 90.02 57.74
Last column: magnetic moment on the atom in μB.
Fractional coordinates of all 5 atoms:
Ni: 0.000 0.000 0.500  0.74
Ni: 0.000 0.500 0.500  0.19
Ni: 0.000 0.500 0.000  0.19
Ge: 0.500 0.000 0.000  0.00
Rh: 0.000 0.000 0.000  0.27

=====

R | Below is Ni3GeRh after structural relaxation, with properties calculated at the PBE level.

ρ = 7.5 g cm⁻³
D(E_F) = 7.94 states/eV/cell

a b c (Å): 4.264 4.264 4.264
angles (deg): 90.00 90.00 90.00
Last column: magnetic moment on the atom in μB.
Fractional coordinates of all 5 atoms:
Ni: 0.000 0.500 0.000  0.12
Ni: 0.000 0.000 0.500  0.11
Ni: 0.500 0.000 0.000  0.22
Ge: 0.000 0.000 0.000  0.00
Rh: 0.500 0.500 0.500  0.67

=====

Result of the stability comparison: P is the least stable of them.

=====

P | Below is Ni2Ge2Rh after structural relaxation, with properties calculated at the PBE level.

ρ = 9.2 g cm⁻³
D(E_F) = 5.06 states/eV/cell

a b c (Å): 6.714 6.714 2.937
angles (deg): 90.00 90.00 90.00
Fractional coordinates of all 10 atoms:
Ni: 0.137 0.637 0.500
Ni: 0.637 0.863 0.500
Ni: 0.863 0.363 0.500
Ni: 0.363 0.137 0.500
Ge: 0.343 0.843 0.000
Ge: 0.843 0.657 0.000
Ge: 0.657 0.157 0.000
Ge: 0.157 0.343 0.000
Rh: 0.000 0.000 0.000
Rh: 0.500 0.500 0.000

=====

Q | Below is Ni2Ge2Rh after structural relaxation, with properties calculated at the PBE level.

ρ = 8.7 g cm⁻³
D(E_F) = 4.93 states/eV/cell

a b c (Å): 3.552 3.552 6.085
angles (deg): 73.03 73.03 90.00
Fractional coordinates of all 5 atoms:
Ni: 0.750 0.250 0.500
Ni: 0.250 0.750 0.500
Ge: 0.389 0.389 0.221
Ge: 0.611 0.611 0.779
Rh: 0.000 0.000 0.000

=====

Result of the stability comparison: Q is the least stable of them.

=====

P | Below is NiGe3Rh after structural relaxation, with properties calculated at the PBE level.

ρ = 7.0 g cm⁻³
D(E_F) = 5.92 states/eV/cell

a b c (Å): 4.491 4.491 4.491
angles (deg): 90.00 90.00 90.00
Fractional coordinates of all 5 atoms:
Ni: 0.000 0.000 0.000
Ge: 0.000 0.500 0.000
Ge: 0.000 0.000 0.500
Ge: 0.500 0.000 0.000
Rh: 0.500 0.500 0.500

=====

Q | Below is NiGe3Rh after structural relaxation, with properties calculated at the PBE level.

ρ = 6.0 g cm⁻³
D(E_F) = 5.88 states/eV/cell

a b c (Å): 4.728 4.728 4.728
angles (deg): 90.00 90.00 90.00
Fractional coordinates of all 5 atoms:
Ni: 0.500 0.500 0.500
Ge: 0.000 0.500 0.000
Ge: 0.000 0.000 0.500
Ge: 0.500 0.000 0.000
Rh: 0.000 0.000 0.000

=====

Result of the stability comparison: Q is the least stable of them.

=====

P | Below is Ni3GeRu after structural relaxation, with properties calculated at the PBE level.

ρ = 6.5 g cm⁻³
D(E_F) = 9.32 states/eV/cell

a b c (Å): 4.480 4.480 4.480
angles (deg): 90.00 90.00 90.00
Fractional coordinates of all 5 atoms:
Ru: 0.000 0.000 0.000
Ge: 0.500 0.500 0.500
Ni: 0.000 0.500 0.000
Ni: 0.000 0.000 0.500
Ni: 0.500 0.000 0.000

=====

Q | Below is Ni3GeRu after structural relaxation, with properties calculated at the PBE level.

ρ = 7.5 g cm⁻³
D(E_F) = 7.46 states/eV/cell

a b c (Å): 4.271 4.271 4.271
angles (deg): 90.00 90.00 90.00
Last column: magnetic moment on the atom in μB.
Fractional coordinates of all 5 atoms:
Ru: 0.500 0.500 0.500  2.26
Ge: 0.000 0.000 0.000  0.00
Ni: 0.000 0.500 0.000  0.23
Ni: 0.000 0.000 0.500  0.23
Ni: 0.500 0.000 0.000  0.48

=====

Result of the stability comparison: P is the least stable of them.

=====

P | Below is NiGe2Ru after structural relaxation, with properties calculated at the PBE level.

ρ = 6.4 g cm⁻³
D(E_F) = 5.02 states/eV/cell

a b c (Å): 5.520 5.520 6.504
angles (deg): 64.89 64.89 90.00
Fractional coordinates of all 8 atoms:
Ru: 0.000 0.000 0.000
Ru: 0.750 0.250 0.500
Ge: 0.615 0.125 0.250
Ge: 0.135 0.625 0.250
Ge: 0.375 0.385 0.750
Ge: 0.875 0.865 0.750
Ni: 0.500 0.500 0.000
Ni: 0.250 0.750 0.500

=====

Q | Below is NiGe2Ru after structural relaxation, with properties calculated at the PBE level.

ρ = 9.3 g cm⁻³
D(E_F) = 2.37 states/eV/cell

a b c (Å): 3.058 3.058 5.823
angles (deg): 90.00 90.00 90.00
Fractional coordinates of all 4 atoms:
Ru: 0.500 0.500 0.500
Ge: 0.000 0.000 0.760
Ge: 0.000 0.000 0.240
Ni: 0.500 0.500 0.000

=====

Result of the stability comparison: P is the least stable of them.

=====

P | Below is NiGe2Ru after structural relaxation, with properties calculated at the PBE level.

ρ = 8.9 g cm⁻³
D(E_F) = 3.52 states/eV/cell

a b c (Å): 3.006 3.006 7.508
angles (deg): 78.45 78.45 60.00
Fractional coordinates of all 4 atoms:
Ni: 0.664 0.664 0.007
Ge: 0.081 0.081 0.756
Ge: 0.252 0.252 0.243
Ru: 0.502 0.502 0.494

=====

Q | Below is NiGe2Ru after structural relaxation, with properties calculated at the PBE level.

ρ = 9.2 g cm⁻³
D(E_F) = 4.32 states/eV/cell

a b c (Å): 3.002 4.282 4.282
angles (deg): 90.00 90.00 90.00
Fractional coordinates of all 4 atoms:
Ru: 0.500 0.500 0.500
Ge: 0.000 0.000 0.500
Ge: 0.000 0.500 0.000
Ni: 0.500 0.000 0.000

=====

Result of the stability comparison: Q is the least stable of them.

=====

P | Below is NiGe2Ru after structural relaxation, with properties calculated at the PBE level.

ρ = 9.2 g cm⁻³
D(E_F) = 3.74 states/eV/cell

a b c (Å): 4.277 4.277 4.277
angles (deg): 60.00 60.00 60.00
Fractional coordinates of all 4 atoms:
Ru: 0.500 0.500 0.500
Ge: 0.250 0.250 0.250
Ge: 0.750 0.750 0.750
Ni: 0.000 0.000 0.000

=====

Q | Below is NiGe2Ru after structural relaxation, with properties calculated at the PBE level.

ρ = 8.4 g cm⁻³
D(E_F) = 3.90 states/eV/cell

a b c (Å): 2.840 2.840 8.764
angles (deg): 80.68 80.68 60.00
Last column: magnetic moment on the atom in μB.
Fractional coordinates of all 4 atoms:
Ru: 0.000 0.000 0.000  0.47
Ge: 0.095 0.095 0.715  0.00
Ge: 0.905 0.905 0.285  0.00
Ni: 0.500 0.500 0.500  0.01

=====

Result of the stability comparison: Q is the least stable of them.